The following is a DFT calculation (PBE) of a relaxed Ac8Ir3Ru2 crystal.

## Properties
theoretical density = 9.622 g/cm3
magnetic moment = 0.00 Bohr magnetons per cell
E_form = -0.4053 eV per atom
total energy = -6.405 eV per atom

Lattice parameters (Å, degrees): 7.3534 8.6665 8.6667 60.12 72.14 72.14
Last column: nearest neighbours and their distance in Å.
Fractional positions:
1 Ac 0.7827 0.6269 0.6269  2 Ir 2.93, 1 Ru 3.02
2 Ac 0.2173 0.3731 0.3731  2 Ir 2.93, 1 Ru 3.02
3 Ac 0.7558 0.1190 0.1190  1 Ru 2.93, 3 Ir 3.00-3.02
4 Ac 0.2442 0.8810 0.8810  1 Ru 2.93, 3 Ir 3.00-3.02
5 Ac 0.7651 0.6331 0.1152  2 Ru 2.88-3.11, 2 Ir 2.98-3.02
6 Ac 0.7651 0.1152 0.6330  2 Ru 2.88-3.11, 2 Ir 2.98-3.02
7 Ac 0.2349 0.8848 0.3670  2 Ru 2.88-3.11, 2 Ir 2.98-3.02
8 Ac 0.2349 0.3669 0.8848  2 Ru 2.88-3.11, 2 Ir 2.98-3.02
9 Ir 0.5000 0.0000 0.0000  6 Ac 3.02
10 Ir 0.0000 0.2544 0.7456  6 Ac 2.93-3.00
11 Ir 0.0000 0.7456 0.2544  6 Ac 2.93-3.00
12 Ru 0.9536 0.2579 0.2579  6 Ac 2.88-3.11
13 Ru 0.0464 0.7421 0.7421  6 Ac 2.88-3.11